<w>
# PBE BaNiOs3, relaxed
data_BaNiOs3
_symmetry_space_group_name_H-M 'P m -3 m'
_symmetry_Int_Tables_number 221
_symmetry_space_group_name_Hall '-P 4 2 3'
_cell_length_a 4.652
_cell_length_b 4.652
_cell_length_c 4.652
_cell_angle_alpha 90.00
_cell_angle_beta 90.00
_cell_angle_gamma 90.00
loop_
_atom_site_label
_atom_site_type_symbol
_atom_site_fract_x
_atom_site_fract_y
_atom_site_fract_z
Ba1 Ba 0.000 0.000 0.000
Ni1 Ni 0.500 0.500 0.500
Os1 Os 0.000 0.500 0.500
# Spin magnetization (Bohr magnetons per cell): 0.00


<x>
# PBE BaNiOs3, relaxed
data_BaNiOs3
_symmetry_space_group_name_H-M 'P m -3 m'
_symmetry_Int_Tables_number 221
_symmetry_space_group_name_Hall '-P 4 2 3'
_cell_length_a 5.025
_cell_length_b 5.025
_cell_length_c 5.025
_cell_angle_alpha 90.00
_cell_angle_beta 90.00
_cell_angle_gamma 90.00
loop_
_atom_site_label
_atom_site_type_symbol
_atom_site_fract_x
_atom_site_fract_y
_atom_site_fract_z
Ba1 Ba 0.000 0.000 0.000
Ni1 Ni 0.500 0.500 0.500
Os1 Os 0.000 0.000 0.500
# Spin magnetization (Bohr magnetons per cell): 5.57


Most favorable first, least favorable last: <w>, <x>


<w>
# PBE BaNi3Os, relaxed
data_BaNi3Os
_symmetry_space_group_name_H-M 'P m -3 m'
_symmetry_Int_Tables_number 221
_symmetry_space_group_name_Hall '-P 4 2 3'
_cell_length_a 4.690
_cell_length_b 4.690
_cell_length_c 4.690
_cell_angle_alpha 90.00
_cell_angle_beta 90.00
_cell_angle_gamma 90.00
loop_
_atom_site_label
_atom_site_type_symbol
_atom_site_fract_x
_atom_site_fract_y
_atom_site_fract_z
Ba1 Ba 0.000 0.000 0.000
Ni1 Ni 0.000 0.500 0.500
Os1 Os 0.500 0.500 0.500
# Spin magnetization (Bohr magnetons per cell): 0.00


<x>
# PBE BaNi3Os, relaxed
data_BaNi3Os
_symmetry_space_group_name_H-M 'P m -3 m'
_symmetry_Int_Tables_number 221
_symmetry_space_group_name_Hall '-P 4 2 3'
_cell_length_a 4.683
_cell_length_b 4.683
_cell_length_c 4.683
_cell_angle_alpha 90.00
_cell_angle_beta 90.00
_cell_angle_gamma 90.00
loop_
_atom_site_label
_atom_site_type_symbol
_atom_site_fract_x
_atom_site_fract_y
_atom_site_fract_z
Ba1 Ba 0.000 0.000 0.000
Ni1 Ni 0.000 0.000 0.500
Os1 Os 0.500 0.500 0.500
# Spin magnetization (Bohr magnetons per cell): 0.00


Most favorable first, least favorable last: <w>, <x>


<w>
# PBE BaNi3P3, relaxed
data_BaNi3P3
_symmetry_space_group_name_H-M 'P m -3 n'
_symmetry_Int_Tables_number 223
_symmetry_space_group_name_Hall '-P 4n 2 3'
_cell_length_a 6.281
_cell_length_b 6.281
_cell_length_c 6.281
_cell_angle_alpha 90.00
_cell_angle_beta 90.00
_cell_angle_gamma 90.00
loop_
_atom_site_label
_atom_site_type_symbol
_atom_site_fract_x
_atom_site_fract_y
_atom_site_fract_z
Ba1 Ba 0.000 0.000 0.000
Ni1 Ni 0.000 0.250 0.500
P1 P 0.000 0.500 0.250
# Spin magnetization (Bohr magnetons per cell): 0.00


<x>
# PBE BaNi3P3, relaxed
data_BaNi3P3
_symmetry_space_group_name_H-M 'R -3'
_symmetry_Int_Tables_number 148
_symmetry_space_group_name_Hall '-R 3'
_cell_length_a 6.4877
_cell_length_b 6.4877
_cell_length_c 22.4794
_cell_angle_alpha 90.00
_cell_angle_beta 90.00
_cell_angle_gamma 120.00
loop_
_atom_site_label
_atom_site_type_symbol
_atom_site_fract_x
_atom_site_fract_y
_atom_site_fract_z
Ba1 Ba 0.0000 0.0000 0.1669
Ni1 Ni 0.9997 0.3368 0.6310
P1 P 0.9996 0.3254 0.3954
# Spin magnetization (Bohr magnetons per cell): 0.00


Most favorable first, least favorable last: <w>, <x>